Entry 1:
Compound: MnZn2Os
Source: the Alexandria database
Functional: GGA-PBEsol
Structure: optimized geometry

Its space group is Immm. Its formation energy from the elements is 0.14 eV/atom.

Cell: 3.2745 4.0486 4.7726 Å, 115.10 110.06 90.00°
Last column: magnetic moment on the atom in μB.
Sites, in units of the cell vectors:
Mn1 0.5000 0.0000 0.0000  3.22
Os1 0.0000 0.5000 0.0000  0.26
Zn1 0.7542 0.7542 0.5084  -0.02
Zn2 0.2458 0.2458 0.4916  -0.02

Entry 2:
Compound: CaLaBi3
Source: the Alexandria database
Functional: GGA-PBEsol
Structure: optimized geometry

Its space group is Pm-3m. Its formation energy from the elements is 0.00 eV/atom.

Cell: 5.6277 5.6277 5.6277 Å, 90.00 90.00 90.00°
Sites, in units of the cell vectors:
Ca1 0.0000 0.0000 0.0000
Bi1 0.0000 0.5000 0.0000
Bi2 0.0000 0.0000 0.5000
Bi3 0.5000 0.0000 0.0000
La1 0.5000 0.5000 0.5000

Entry 3:
Compound: BaTaMn2
Source: the Alexandria database
Functional: GGA-PBEsol
Structure: optimized geometry

Its space group is F-43m. Its formation energy from the elements is 1.24 eV/atom.

Cell: 4.7747 4.7747 4.7747 Å, 60.00 60.00 60.00°
Last column: magnetic moment on the atom in μB.
Sites, in units of the cell vectors:
Ba1 0.5000 0.5000 0.5000  -0.06
Mn1 0.0000 0.0000 0.0000  3.08
Mn2 0.7500 0.7500 0.7500  3.56
Ta1 0.2500 0.2500 0.2500  -0.73

Entry 4:
Compound: Pt3Au
Source: the Alexandria database
Functional: GGA-PBEsol
Structure: optimized geometry

Its space group is P-6m2. Its formation energy from the elements is 0.07 eV/atom.

Cell: 2.7476 2.7476 9.4995 Å, 90.00 90.00 120.00°
Sites, in units of the cell vectors:
Au1 0.0000 0.0000 0.0000
Pt1 0.0000 0.0000 0.5000
Pt2 0.6667 0.3333 0.7457
Pt3 0.6667 0.3333 0.2543

Entry 5:
Compound: La2CoCu
Source: the Alexandria database
Functional: GGA-PBEsol
Structure: optimized geometry

Its space group is Amm2. Its formation energy from the elements is -0.07 eV/atom.

Cell: 3.8664 4.3812 5.5586 Å, 90.00 110.35 90.00°
Sites, in units of the cell vectors:
Co1 0.6945 0.0000 0.3891
Cu1 0.5590 0.5000 0.1180
La1 0.9881 0.0000 0.9763
La2 0.2641 0.5000 0.5282

Entry 6:
Compound: CeSmO2
Source: the Alexandria database
Functional: GGA-PBEsol
Structure: optimized geometry

Its space group is I4_1/amd. As for the uncorrected formation energy: -2.901 eV/atom.

Cell: 4.9029 4.9029 6.0002 Å, 114.12 114.11 90.00°
Sites, in units of the cell vectors:
Ce1 0.7529 0.2529 0.5057
Ce2 0.5029 0.5028 0.0057
Sm1 0.0029 0.0029 0.0058
Sm2 0.2529 0.7529 0.5058
O1 0.2519 0.2519 0.5037
O2 0.7539 0.7538 0.5077
O3 0.5019 0.0019 0.0037
O4 0.0039 0.5039 0.0078

Listing V for the structures above in their given order: 53.0 178.2 77.0 62.1 88.3 58.9 Å³/f.u..
Listing DOS(E_F) for the structures above in their given order: 0.36 0.58 1.36 1.45 0.96 0.83 states/eV per atom.